! Pr4Dy3Th2, optimized geometry, DFT PBE; values from VASP
&SYSTEM
  ibrav = 0, nat = 18, ntyp = 3
/
ATOMIC_SPECIES
Pr 140.91 Pr.upf
Dy 162.50 Dy.upf
Th 232.04 Th.upf
ATOMIC_POSITIONS crystal
Pr 0.085 0.812 0.983
Pr 0.155 0.412 0.151
Pr 0.188 0.915 0.517
Pr 0.412 0.155 0.651
Pr 0.588 0.845 0.349
Pr 0.812 0.085 0.483
Pr 0.845 0.588 0.849
Pr 0.915 0.188 0.017
Dy 0.054 0.286 0.580
Dy 0.286 0.054 0.080
Dy 0.392 0.608 0.250
Dy 0.608 0.392 0.750
Dy 0.714 0.946 0.920
Dy 0.946 0.714 0.420
Th 0.256 0.529 0.690
Th 0.471 0.744 0.810
Th 0.529 0.256 0.190
Th 0.744 0.471 0.310
CELL_PARAMETERS angstrom
8.215 -5.969 0.000
8.215 5.969 0.000
-0.865 0.000 6.168
! Energy of formation from the pure elements (eV/atom): 0.119
! Raw total energy (eV per atom): -5.19
! Total magnetization (μB/atom): 0.0000
! DOS(E_F) (states/eV per cell): 29.36
! Polymorph energy (0 for the lowest one) (meV/atom): 35
! SG: C2/c (15)

***

! Pr8Dy3Th, optimized geometry, DFT PBE; values from VASP
&SYSTEM
  ibrav = 0, nat = 12, ntyp = 3
/
ATOMIC_SPECIES
Pr 140.91 Pr.upf
Dy 162.50 Dy.upf
Th 232.04 Th.upf
ATOMIC_POSITIONS crystal
Pr 0.000 0.161 0.161
Pr 0.000 0.839 0.839
Pr 0.089 0.176 0.588
Pr 0.089 0.501 0.913
Pr 0.495 0.162 0.667
Pr 0.495 0.828 0.333
Pr 0.588 0.176 0.087
Pr 0.588 0.501 0.412
Dy 0.002 0.502 0.500
Dy 0.075 0.826 0.250
Dy 0.576 0.826 0.750
Th 0.510 0.510 0.000
CELL_PARAMETERS angstrom
-5.541 5.940 3.190
5.541 -5.940 3.190
5.541 5.940 -3.190
! Energy of formation from the pure elements (eV/atom): 0.046
! Raw total energy (eV per atom): -4.91
! Total magnetization (μB/atom): 0.0000
! DOS(E_F) (states/eV per cell): 20.67
! SG: Imm2 (44)

***

! Pr2Dy7Th4, optimized geometry, DFT PBE; values from VASP
&SYSTEM
  ibrav = 0, nat = 13, ntyp = 3
/
ATOMIC_SPECIES
Pr 140.91 Pr.upf
Dy 162.50 Dy.upf
Th 232.04 Th.upf
ATOMIC_POSITIONS crystal
Pr 0.333 0.667 0.000
Pr 0.667 0.333 0.000
Dy 0.000 0.000 0.000
Dy 0.000 0.362 0.782
Dy 0.000 0.638 0.218
Dy 0.362 0.000 0.782
Dy 0.362 0.362 0.218
Dy 0.638 0.000 0.218
Dy 0.638 0.638 0.782
Th 0.000 0.000 0.391
Th 0.000 0.000 0.609
Th 0.333 0.667 0.500
Th 0.667 0.333 0.500
CELL_PARAMETERS angstrom
6.096 0.000 0.000
-3.048 5.280 0.000
0.000 0.000 13.406
! Energy of formation from the pure elements (eV/atom): 0.226
! Raw total energy (eV per atom): -5.27
! Total magnetization (μB/atom): 0.0000
! DOS(E_F) (states/eV per cell): 19.46
! SG: P-31m (162)

***

! PrDy6Th3, optimized geometry, DFT PBE; values from VASP
&SYSTEM
  ibrav = 0, nat = 20, ntyp = 3
/
ATOMIC_SPECIES
Pr 140.91 Pr.upf
Dy 162.50 Dy.upf
Th 232.04 Th.upf
ATOMIC_POSITIONS crystal
Pr 0.249 0.184 0.393
Pr 0.751 0.816 0.607
Dy 0.248 0.128 0.021
Dy 0.250 0.247 0.796
Dy 0.250 0.560 0.599
Dy 0.250 0.622 0.000
Dy 0.250 0.924 0.396
Dy 0.251 0.725 0.798
Dy 0.749 0.275 0.202
Dy 0.750 0.076 0.604
Dy 0.750 0.378 0.000
Dy 0.750 0.440 0.401
Dy 0.750 0.753 0.204
Dy 0.752 0.872 0.979
Th 0.250 0.506 0.200
Th 0.250 0.673 0.396
Th 0.252 0.984 0.794
Th 0.748 0.016 0.206
Th 0.750 0.327 0.604
Th 0.750 0.494 0.800
CELL_PARAMETERS angstrom
3.504 0.000 0.000
-0.006 13.191 0.000
-0.010 -1.843 14.172
! Energy of formation from the pure elements (eV/atom): 0.110
! Raw total energy (eV per atom): -5.36
! Total magnetization (μB/atom): 0.0000
! DOS(E_F) (states/eV per cell): 30.11
! SG: P-1 (2)

***

Among the records above, which one has the lowest raw total energy?
PrDy6Th3

***

Look up the DOS(E_F) of the third one.
19.46 states/eV per cell